[1]
PrTm7Mg4 (PBE-GGA, relaxed); M_tot = 0.00 μB per cell; DOS(E_F) = 12.77 states/eV/f.u.; E_form = 0.243 eV per atom; SG = No. 12; VASP energy = -3.30 eV/atom
1.0
6.667 -2.841 0.000
6.667 2.841 0.000
-6.175 0.000 9.452
Pr Tm Mg
1 7 4
Cartesian
0.000 0.000 0.000 Pr
-1.637 0.000 3.643 Tm
-2.519 0.000 8.348 Tm
1.988 0.000 3.739 Tm
6.667 0.000 0.000 Tm
5.171 0.000 5.713 Tm
9.677 0.000 1.104 Tm
8.796 0.000 5.809 Tm
0.018 0.000 6.307 Mg
4.454 0.000 2.045 Mg
2.704 0.000 7.407 Mg
7.140 0.000 3.145 Mg

=====

[2]
Y3NbBi (PBE-GGA, relaxed); M_tot = 3.37 μB per cell; DOS(E_F) = 9.72 states/eV/f.u.; E_form = 0.850 eV per atom; SG = No. 221; VASP energy = -5.82 eV/atom
1.0
5.714 0.000 0.000
0.000 5.714 0.000
0.000 0.000 5.714
Y Nb Bi
3 1 1
Cartesian
0.000 0.000 2.857 Y
0.000 2.857 0.000 Y
2.857 0.000 0.000 Y
2.857 2.857 2.857 Nb
0.000 0.000 0.000 Bi

=====

[3]
FeBiI (PBE-GGA, relaxed); E_form (uncorrected) = 0.141 eV per atom; M_tot = 5.62 μB per cell; DOS(E_F) = 1.19 states/eV/f.u.; SG = No. 8; VASP energy = -4.49 eV/atom
1.0
7.495 -1.997 0.000
7.495 1.997 0.000
-1.666 0.000 6.615
Fe Bi I
2 2 2
Cartesian
0.000 0.000 0.000 Fe
6.161 0.000 5.333 Fe
0.406 0.000 4.404 Bi
12.570 0.000 3.683 Bi
5.497 0.000 0.229 I
9.124 0.000 1.180 I

=====

[4]
CaAcGd2 (PBE-GGA, relaxed); M_tot = 15.04 μB per cell; DOS(E_F) = 6.59 states/eV/f.u.; E_form = 0.180 eV per atom; SG = No. 166; VASP energy = -8.39 eV/atom
1.0
1.843 1.064 12.910
-1.843 1.064 12.910
0.000 -2.129 12.910
Ca Ac Gd
1 1 2
Cartesian
0.000 0.000 0.000 Ca
0.000 0.000 19.365 Ac
0.000 0.000 3.440 Gd
0.000 0.000 35.290 Gd

=====

[5]
Li2YPd (PBE-GGA, relaxed); M_tot = 0.00 μB per cell; DOS(E_F) = 2.31 states/eV/f.u.; E_form = -0.278 eV per atom; SG = No. 10; VASP energy = -4.15 eV/atom
1.0
3.782 0.000 0.000
0.000 5.166 0.000
-0.239 0.000 4.261
Li Y Pd
2 1 1
Cartesian
0.673 0.000 1.248 Li
2.870 0.000 3.012 Li
1.891 2.583 0.000 Y
-0.119 2.583 2.130 Pd

=====

[6]
Pb5AuBr12 (PBE-GGA, relaxed); E_form (uncorrected) = -0.759 eV per atom; M_tot = 1.06 μB per cell; DOS(E_F) = 1.21 states/eV/f.u.; SG = No. 12; VASP energy = -3.09 eV/atom
1.0
3.910 -6.616 0.000
3.910 6.616 0.000
-0.842 0.000 13.949
Pb Au Br
5 1 12
Cartesian
0.000 0.000 0.000 Pb
3.489 4.558 6.974 Pb
3.910 2.201 0.000 Pb
3.910 -2.201 0.000 Pb
3.489 -4.558 6.974 Pb
3.489 0.000 6.974 Au
2.587 4.404 1.680 Br
0.537 0.000 8.826 Br
2.332 1.863 5.533 Br
4.391 4.404 12.269 Br
2.583 0.000 1.677 Br
2.332 -1.863 5.533 Br
4.647 1.863 8.416 Br
4.395 0.000 12.272 Br
2.587 -4.404 1.680 Br
4.647 -1.863 8.416 Br
6.442 0.000 5.123 Br
4.391 -4.404 12.269 Br

=====

[7]
ScHg2I (PBE-GGA, relaxed); E_form (uncorrected) = 0.145 eV per atom; M_tot = 0.66 μB per cell; DOS(E_F) = 5.14 states/eV/f.u.; SG = No. 225; VASP energy = -1.98 eV/atom
1.0
0.000 3.829 3.829
3.829 0.000 3.829
3.829 3.829 0.000
Sc Hg I
1 2 1
Cartesian
0.000 0.000 0.000 Sc
1.914 1.914 1.914 Hg
5.743 5.743 5.743 Hg
3.829 3.829 3.829 I

=====

[8]
CrCd2Ir (PBE-GGA, relaxed); M_tot = 0.00 μB per cell; DOS(E_F) = 1.98 states/eV/f.u.; E_form = 0.181 eV per atom; SG = No. 160; VASP energy = -4.90 eV/atom
1.0
1.416 0.817 9.836
-1.416 0.817 9.836
0.000 -1.635 9.836
Cr Cd Ir
1 2 1
Cartesian
0.000 0.000 0.000 Cr
0.000 0.000 7.431 Cd
0.000 0.000 14.273 Cd
0.000 0.000 21.561 Ir

=====

Q: Which of these has the lowest VASP energy?
A: CaAcGd2